No. 1
Entry from the Alexandria database: AlGa3Cu7 after structural relaxation (PBE). Values from VASP.

The value obtained for the theoretical density is 7.06 Mg/m³. The calculation puts the calculated volume at 14.57 Å³ per atom. The total magnetization is 0.000 μB per atom. As for the total energy: -3.729 eV per atom.

The structure in Quantum ESPRESSO input format:
```
&SYSTEM
  ibrav = 0, nat = 11, ntyp = 3
/
ATOMIC_SPECIES
Al 26.98 Al.upf
Ga 69.72 Ga.upf
Cu 63.55 Cu.upf
CELL_PARAMETERS angstrom
4.197 -4.270 0.000
4.197 4.270 0.000
-2.113 0.000 4.471
ATOMIC_POSITIONS angstrom
Al 0.000 0.000 0.000
Ga 3.140 1.800 2.235
Ga 4.197 0.000 0.000
Ga 3.140 -1.800 2.235
Cu -1.057 0.000 2.235
Cu 0.988 2.079 3.646
Cu 1.379 0.000 2.072
Cu 5.292 2.079 0.825
Cu 0.988 -2.079 3.646
Cu 4.901 0.000 2.399
Cu 5.292 -2.079 0.825
```

***

No. 2
Entry from the Alexandria database: Al2Ga5Cu12 after structural relaxation (PBE). Values from VASP.

The value obtained for the theoretical density is 7.31 Mg/m³. The calculation puts the calculated volume at 13.92 Å³ per atom. The total magnetization is 0.000 μB per atom. As for the total energy: -3.779 eV per atom.

The structure in Quantum ESPRESSO input format:
```
&SYSTEM
  ibrav = 0, nat = 19, ntyp = 3
/
ATOMIC_SPECIES
Al 26.98 Al.upf
Ga 69.72 Ga.upf
Cu 63.55 Cu.upf
CELL_PARAMETERS angstrom
6.108 -3.476 0.000
6.108 3.476 0.000
-0.838 0.000 6.230
ATOMIC_POSITIONS angstrom
Al 6.108 2.052 0.000
Al 6.108 -2.052 0.000
Ga -0.419 0.000 3.115
Ga 2.228 0.000 3.141
Ga 3.505 0.000 5.518
Ga 7.872 0.000 0.712
Ga 9.149 0.000 3.089
Cu 3.026 1.279 1.191
Cu 0.970 0.000 5.350
Cu 4.391 1.361 3.498
Cu 6.986 1.361 2.732
Cu 3.026 -1.279 1.191
Cu 5.303 0.000 1.523
Cu 6.075 0.000 4.707
Cu 8.352 1.279 5.039
Cu 4.391 -1.361 3.498
Cu 6.986 -1.361 2.732
Cu 10.408 0.000 0.880
Cu 8.352 -1.279 5.039
```

***

No. 3
Entry from the Alexandria database: Al2GaCu8 after structural relaxation (PBE). Values from VASP.

The value obtained for the theoretical density is 7.15 Mg/m³. The calculation puts the calculated volume at 13.34 Å³ per atom. The total magnetization is 0.000 μB per atom. As for the total energy: -3.968 eV per atom.

The structure in Quantum ESPRESSO input format:
```
&SYSTEM
  ibrav = 0, nat = 11, ntyp = 3
/
ATOMIC_SPECIES
Al 26.98 Al.upf
Ga 69.72 Ga.upf
Cu 63.55 Cu.upf
CELL_PARAMETERS angstrom
3.264 -5.956 0.000
3.264 5.956 0.000
-2.154 0.000 3.773
ATOMIC_POSITIONS angstrom
Al 3.264 3.659 0.000
Al 3.264 -3.659 0.000
Ga 2.187 0.000 1.887
Cu -0.118 0.000 1.143
Cu 0.057 1.405 3.131
Cu 2.187 2.455 1.887
Cu 0.057 -1.405 3.131
Cu 4.316 1.405 0.642
Cu 2.187 -2.455 1.887
Cu 4.316 -1.405 0.642
Cu 4.492 0.000 2.630
```

***

No. 4
Entry from the Alexandria database: AlGaCuGe2 after structural relaxation (PBE). Values from VASP.

The value obtained for the theoretical density is 4.84 Mg/m³. The calculation puts the calculated volume at 20.96 Å³ per atom. The total magnetization is 0.000 μB per atom. As for the total energy: -3.578 eV per atom.

The structure in Quantum ESPRESSO input format:
```
&SYSTEM
  ibrav = 0, nat = 5, ntyp = 4
/
ATOMIC_SPECIES
Al 26.98 Al.upf
Ga 69.72 Ga.upf
Cu 63.55 Cu.upf
Ge 72.64 Ge.upf
CELL_PARAMETERS angstrom
4.788 0.000 0.000
0.000 4.788 0.000
0.000 0.000 4.571
ATOMIC_POSITIONS angstrom
Al 0.000 0.000 0.000
Ga 2.394 2.394 0.000
Cu 2.394 2.394 2.285
Ge 0.000 2.394 2.285
Ge 2.394 0.000 2.285
```

***

No. 5
Entry from the Alexandria database: Al2GaCu7Ge2 after structural relaxation (PBE). Values from VASP.

The value obtained for the theoretical density is 7.05 Mg/m³. The calculation puts the calculated volume at 14.00 Å³ per atom. The total magnetization is 0.000 μB per atom. As for the total energy: -4.049 eV per atom.

The structure in Quantum ESPRESSO input format:
```
&SYSTEM
  ibrav = 0, nat = 12, ntyp = 4
/
ATOMIC_SPECIES
Al 26.98 Al.upf
Ga 69.72 Ga.upf
Cu 63.55 Cu.upf
Ge 72.64 Ge.upf
CELL_PARAMETERS angstrom
2.619 -2.774 0.000
2.619 2.774 0.000
-0.015 0.000 11.567
ATOMIC_POSITIONS angstrom
Al 5.234 0.000 2.170
Al -0.011 0.000 9.397
Ga 2.611 0.000 5.783
Cu -0.008 0.000 5.783
Cu 1.302 1.387 7.607
Cu 1.277 0.000 11.566
Cu 3.920 1.387 3.959
Cu 1.302 -1.387 7.607
Cu 3.945 0.000 0.001
Cu 3.920 -1.387 3.959
Ge 2.614 0.000 2.146
Ge 2.608 0.000 9.420
```

***

No. 6
Entry from the Alexandria database: AlGa2Cu7Ge2 after structural relaxation (PBE). Values from VASP.

The value obtained for the theoretical density is 7.18 Mg/m³. The calculation puts the calculated volume at 14.59 Å³ per atom. The total magnetization is 0.000 μB per atom. As for the total energy: -3.929 eV per atom.

The structure in Quantum ESPRESSO input format:
```
&SYSTEM
  ibrav = 0, nat = 12, ntyp = 4
/
ATOMIC_SPECIES
Al 26.98 Al.upf
Ga 69.72 Ga.upf
Cu 63.55 Cu.upf
Ge 72.64 Ge.upf
CELL_PARAMETERS angstrom
2.504 -2.498 0.000
2.504 2.498 0.000
-2.458 0.000 13.995
ATOMIC_POSITIONS angstrom
Al 0.000 0.000 0.000
Ga 0.041 0.000 10.175
Ga 2.510 0.000 3.820
Cu 1.256 1.248 1.931
Cu 0.025 0.000 7.648
Cu 1.295 1.248 12.064
Cu 2.504 0.000 0.000
Cu 1.256 -1.248 1.931
Cu 2.526 0.000 6.347
Cu 1.295 -1.248 12.064
Ge 0.009 0.000 5.194
Ge 2.542 0.000 8.801
```